A plane-wave DFT calculation with PBE-GGA was carried out for a geometry-optimized Ac4RuSe3 structure.

- D(E_F): 4.8 states/eV/f.u.
- E_form (uncorrected): -11.5 eV/f.u.
- Energy: -0.438 Ry per atom

```
Ac4RuSe3
1.0
7.986 0.000 0.000
0.000 8.997 0.000
-2.581 0.000 7.167
Ac Ru Se
8 2 6
direct
0.224 0.112 0.000
0.224 0.888 0.500
0.237 0.354 0.480
0.237 0.646 0.980
0.763 0.354 0.020
0.763 0.646 0.520
0.776 0.112 0.500
0.776 0.888 0.000
0.000 0.127 0.250
0.000 0.873 0.750
0.000 0.382 0.750
0.000 0.618 0.250
0.500 0.127 0.750
0.500 0.382 0.250
0.500 0.618 0.750
0.500 0.873 0.250
```